Entry 1:
Tl2VHCl6 | PBE-GGA | relaxed

POSCAR file:
```
Tl2VHCl6
1.0
-4.875 3.452 5.808
-7.923 -7.419 -2.240
1.577 -3.256 5.210
Cl H Tl V
12 2 4 2
Direct
0.630 0.050 0.123 Cl
0.240 0.056 0.436 Cl
0.539 0.202 0.603 Cl
0.760 0.944 0.564 Cl
0.740 0.444 0.936 Cl
0.870 0.550 0.377 Cl
0.130 0.450 0.623 Cl
0.961 0.702 0.897 Cl
0.370 0.950 0.877 Cl
0.260 0.556 0.064 Cl
0.039 0.298 0.103 Cl
0.461 0.798 0.397 Cl
0.000 0.500 0.500 H
0.500 0.000 0.000 H
0.098 0.802 0.323 Tl
0.902 0.198 0.677 Tl
0.402 0.302 0.177 Tl
0.598 0.698 0.823 Tl
0.000 0.500 0.000 V
0.500 0.000 0.500 V
```

Properties
D(E_F), states/eV/f.u.: 6.24
Crystal system: monoclinic
Energy, eV/atom: -3.8296
M_tot, μB/f.u.: 2.00

---

Entry 2:
Tm2HCl | PBE-GGA | relaxed

POSCAR file:
```
Tm2HCl
1.0
3.515 0.000 0.000
1.757 3.044 0.000
1.757 1.015 6.955
Cl Tm H
1 2 1
Direct
0.500 0.500 0.500 Cl
0.728 0.728 0.815 Tm
0.272 0.272 0.185 Tm
0.000 0.000 0.000 H
```

Properties
D(E_F), states/eV/f.u.: 1.33
Crystal system: trigonal
Energy, eV/atom: -4.3185
M_tot, μB/f.u.: 0.00

---

Entry 3:
TmH2Cl3 | PBE-GGA | relaxed

POSCAR file:
```
TmH2Cl3
1.0
-5.103 6.544 -2.894
-6.272 -4.375 1.440
3.243 -2.857 6.060
Cl H Tm
6 4 2
Direct
0.979 0.996 0.216 Cl
0.501 0.750 0.498 Cl
0.979 0.498 0.216 Cl
0.021 0.004 0.784 Cl
0.499 0.250 0.502 Cl
0.021 0.502 0.784 Cl
0.486 0.799 0.972 H
0.514 0.201 0.028 H
0.498 0.295 0.991 H
0.502 0.705 0.009 H
0.000 0.250 0.001 Tm
0.000 0.750 0.999 Tm
```

Properties
D(E_F), states/eV/f.u.: 0.00
Crystal system: triclinic
Energy, eV/atom: -4.3010
M_tot, μB/f.u.: 0.00

---

Q: What is the D(E_F) in the second record?
A: 1.33 states/eV/f.u.

---

Q: The highest M_tot belongs to which entry?
A: Tl2VHCl6